The following is a DFT calculation (PBEsol) of crystalline SrLiNi2 at its relaxed geometry.

Output
* ΔH_f (0 K): 330 meV/atom
* ΔE to the lowest computed polymorph: 0.287 eV/atom
* DFT total energy: -3.701 eV/atom

Cell and atoms, written as POSCAR:
```
SrLiNi2
1.0
3.266 0.000 0.000
0.000 3.266 0.000
0.000 0.000 6.254
Li Ni Sr
1 2 1
Direct
0.500 0.500 0.500
0.000 0.000 0.686
0.000 0.000 0.314
0.500 0.500 0.000
```